A plane-wave DFT calculation with GGA-PBE was carried out for crystalline La2CeS3 at its relaxed geometry.

Summary:
Crystal system: orthorhombic
SG: Immm, No. 71

a = 4.110 Å, b = 5.826 Å, c = 7.135 Å
α = 114.10°, β = 106.74°, γ = 90.00°
Fractional coordinates of all 6 atoms:
S: 0.838 0.338 0.176
S: 0.500 0.000 0.500
S: 0.162 0.662 0.824
La: 0.832 0.832 0.164
La: 0.168 0.168 0.836
Ce: 0.500 0.500 0.500

A plane-wave DFT calculation with GGA-PBE was carried out for crystalline La3Ce5S8 at its relaxed geometry.

Summary:
Crystal system: trigonal
SG: R-3m, No. 166

a = 8.146 Å, b = 8.146 Å, c = 8.156 Å
α = 60.04°, β = 60.04°, γ = 60.00°
Fractional coordinates of all 16 atoms:
S: 0.747 0.747 0.759
S: 0.253 0.253 0.241
S: 0.750 0.750 0.244
S: 0.750 0.256 0.244
S: 0.256 0.750 0.244
S: 0.250 0.744 0.756
S: 0.250 0.250 0.756
S: 0.744 0.250 0.756
Ce: 0.000 0.000 0.000
Ce: 0.500 0.500 0.000
Ce: 0.000 0.500 0.000
Ce: 0.500 0.500 0.500
Ce: 0.500 0.000 0.000
La: 0.500 0.000 0.500
La: 0.000 0.000 0.500
La: 0.000 0.500 0.500

A plane-wave DFT calculation with GGA-PBE was carried out for crystalline LaCe6S8 at its relaxed geometry.

Summary:
Crystal system: cubic
SG: Fm-3m, No. 225

a = 8.072 Å, b = 8.072 Å, c = 8.072 Å
α = 60.00°, β = 60.00°, γ = 60.00°
Fractional coordinates of all 15 atoms:
S: 0.250 0.250 0.250
S: 0.254 0.746 0.254
S: 0.254 0.254 0.746
S: 0.750 0.750 0.750
S: 0.254 0.746 0.746
S: 0.746 0.254 0.746
S: 0.746 0.746 0.254
S: 0.746 0.254 0.254
Ce: 0.500 0.000 0.000
Ce: 0.500 0.500 0.000
Ce: 0.000 0.500 0.000
Ce: 0.500 0.000 0.500
Ce: 0.000 0.000 0.500
Ce: 0.000 0.500 0.500
La: 0.000 0.000 0.000

A plane-wave DFT calculation with GGA-PBE was carried out for crystalline LaCe4S6 at its relaxed geometry.

Summary:
Crystal system: orthorhombic
SG: Cmcm, No. 63

a = 3.997 Å, b = 6.953 Å, c = 20.230 Å
α = 90.00°, β = 90.00°, γ = 106.71°
Fractional coordinates of all 22 atoms:
Ce: 0.591 0.183 0.873
Ce: 0.591 0.183 0.627
Ce: 0.409 0.817 0.127
Ce: 0.409 0.817 0.373
Ce: 0.138 0.276 0.460
Ce: 0.862 0.724 0.540
Ce: 0.862 0.724 0.960
Ce: 0.138 0.276 0.040
S: 0.769 0.537 0.409
S: 0.049 0.097 0.333
S: 0.313 0.626 0.250
S: 0.231 0.463 0.591
S: 0.231 0.463 0.909
S: 0.687 0.374 0.750
S: 0.769 0.537 0.091
S: 0.951 0.903 0.833
S: 0.951 0.903 0.667
S: 0.500 0.000 0.000
S: 0.500 0.000 0.500
S: 0.049 0.097 0.167
La: 0.341 0.682 0.750
La: 0.659 0.318 0.250

A plane-wave DFT calculation with GGA-PBE was carried out for crystalline La4CeS5 at its relaxed geometry.

Summary:
Crystal system: tetragonal
SG: I4/m, No. 87

a = 5.847 Å, b = 7.159 Å, c = 7.159 Å
α = 80.40°, β = 65.90°, γ = 65.90°
Fractional coordinates of all 10 atoms:
La: 0.201 0.202 0.398
La: 0.801 0.798 0.602
La: 0.599 0.602 0.202
La: 0.403 0.398 0.798
S: 0.296 0.804 0.606
S: 0.902 0.394 0.804
S: 0.100 0.606 0.196
S: 0.501 0.000 0.000
S: 0.706 0.196 0.394
Ce: 0.001 0.000 0.000

A plane-wave DFT calculation with GGA-PBE was carried out for crystalline LaCe6S12 at its relaxed geometry.

Summary:
Crystal system: trigonal
SG: R-3, No. 148

a = 8.110 Å, b = 8.110 Å, c = 8.110 Å
α = 100.23°, β = 100.23°, γ = 100.23°
Fractional coordinates of all 19 atoms:
S: 0.331 0.933 0.064
S: 0.422 0.569 0.823
S: 0.177 0.578 0.431
S: 0.578 0.431 0.177
S: 0.569 0.823 0.422
S: 0.669 0.067 0.936
S: 0.067 0.936 0.669
S: 0.064 0.331 0.933
S: 0.933 0.064 0.331
S: 0.431 0.177 0.578
S: 0.823 0.422 0.569
S: 0.936 0.669 0.067
Ce: 0.615 0.137 0.305
Ce: 0.137 0.305 0.615
Ce: 0.863 0.695 0.385
Ce: 0.385 0.863 0.695
Ce: 0.305 0.615 0.137
Ce: 0.695 0.385 0.863
La: 0.000 0.000 0.000

A plane-wave DFT calculation with GGA-PBE was carried out for crystalline LaCe2S4 at its relaxed geometry.

Summary:
Crystal system: orthorhombic
SG: Cmcm, No. 63

a = 3.990 Å, b = 7.042 Å, c = 13.413 Å
α = 90.00°, β = 90.00°, γ = 106.46°
Fractional coordinates of all 14 atoms:
S: 0.500 0.000 0.000
S: 0.033 0.065 0.250
S: 0.226 0.452 0.877
S: 0.967 0.935 0.750
S: 0.774 0.548 0.377
S: 0.226 0.452 0.623
S: 0.774 0.548 0.123
S: 0.500 0.000 0.500
Ce: 0.132 0.264 0.433
Ce: 0.868 0.736 0.933
Ce: 0.868 0.736 0.567
Ce: 0.132 0.264 0.067
La: 0.379 0.758 0.250
La: 0.621 0.242 0.750

A plane-wave DFT calculation with GGA-PBE was carried out for crystalline La2CeScS4 at its relaxed geometry.

Summary:
Crystal system: monoclinic
SG: P2/m, No. 10

a = 3.986 Å, b = 6.941 Å, c = 6.989 Å
α = 109.06°, β = 90.00°, γ = 90.00°
Fractional coordinates of all 8 atoms:
S: 0.500 0.229 0.223
S: 0.500 0.771 0.777
S: 0.000 0.244 0.768
S: 0.000 0.756 0.232
La: 0.000 0.500 0.500
La: 0.500 0.000 0.500
Ce: 0.500 0.500 0.000
Sc: 0.000 0.000 0.000

A plane-wave DFT calculation with GGA-PBE was carried out for crystalline LaCeSe2S at its relaxed geometry.

Summary:
Crystal system: orthorhombic
SG: Cmcm, No. 63

a = 4.172 Å, b = 7.149 Å, c = 9.769 Å
α = 90.00°, β = 90.00°, γ = 106.97°
Fractional coordinates of all 10 atoms:
S: 0.906 0.811 0.750
S: 0.094 0.189 0.250
La: 0.738 0.476 0.250
La: 0.262 0.524 0.750
Se: 0.646 0.292 0.566
Se: 0.354 0.708 0.066
Se: 0.354 0.708 0.434
Se: 0.646 0.292 0.934
Ce: 0.000 0.000 0.000
Ce: 0.000 0.000 0.500

A plane-wave DFT calculation with GGA-PBE was carried out for crystalline LaCeSeS at its relaxed geometry.

Summary:
Crystal system: trigonal
SG: R3m, No. 160

a = 4.162 Å, b = 4.162 Å, c = 7.286 Å
α = 73.41°, β = 73.41°, γ = 60.00°
Fractional coordinates of all 4 atoms:
Ce: 0.745 0.745 0.766
La: 0.255 0.255 0.234
Se: 0.497 0.497 0.508
S: 0.002 0.002 0.993

A plane-wave DFT calculation with GGA-PBE was carried out for crystalline LaCe2SmS4 at its relaxed geometry.

Summary:
Crystal system: monoclinic
SG: P2/m, No. 10

a = 4.048 Å, b = 7.036 Å, c = 7.028 Å
α = 70.60°, β = 90.00°, γ = 90.00°
Fractional coordinates of all 8 atoms:
S: 0.500 0.751 0.255
S: 0.000 0.755 0.743
S: 0.000 0.245 0.257
S: 0.500 0.249 0.745
Sm: 0.000 0.500 0.500
Ce: 0.000 0.000 0.000
Ce: 0.500 0.000 0.500
La: 0.500 0.500 0.000

A plane-wave DFT calculation with GGA-PBE was carried out for crystalline LaCeSm2S4 at its relaxed geometry.

Summary:
Crystal system: monoclinic
SG: P2/m, No. 10

a = 4.037 Å, b = 7.025 Å, c = 7.026 Å
α = 109.35°, β = 90.00°, γ = 90.00°
Fractional coordinates of all 8 atoms:
Sm: 0.000 0.500 0.500
Sm: 0.500 0.000 0.500
S: 0.500 0.744 0.742
S: 0.000 0.252 0.745
S: 0.000 0.748 0.255
S: 0.500 0.256 0.258
Ce: 0.500 0.500 0.000
La: 0.000 0.000 0.000

no.,formation energy (no corrections) (meV/atom),calculated density (g cm⁻³)
1,-2118.5,5.8
2,-2083.7,6.0
3,-2022.5,5.5
4,-2037.5,5.5
5,-2139.6,5.7
6,-1928.3,4.5
7,-2037.1,5.0
8,-2024.9,5.4
9,-1985.4,5.6
10,-2002.0,6.3
11,-2066.5,6.1
12,-2066.9,6.3